# K3Ba2NbO6

K3Ba2NbO6 after structural relaxation (PBE-GGA, Alexandria via LeMat-Bulk).

Structure (CIF):
```
data_K3Ba2NbO6
_chemical_formula_sum 'K6 Ba4 Nb2 O12'
_cell_length_a 6.4472
_cell_length_b 11.2617
_cell_length_c 6.5553
_cell_angle_alpha 90.00
_cell_angle_beta 109.15
_cell_angle_gamma 90.00
_symmetry_space_group_name_H-M 'C 1 2/m 1'
_symmetry_Int_Tables_number 12
_symmetry_space_group_name_Hall '-C 2y'
loop_
_atom_site_label
_atom_site_fract_x
_atom_site_fract_y
_atom_site_fract_z
_atom_site_occupancy
K1 0.0000 0.0000 0.0000 1
K2 0.0000 0.3480 0.0000 1
Ba1 0.0000 0.1678 0.5000 1
Nb1 0.0000 0.5000 0.5000 1
O1 0.1945 0.3691 0.6927 1
O2 0.2040 0.5000 0.3132 1
```

Results
Energy relative to the elements, uncorrected = -2213 meV per atom
Volume = 449.61 Å³ per cell

# BeFeP2

BeFeP2 after structural relaxation (PBE-GGA, Alexandria via LeMat-Bulk).

Structure (CIF):
```
data_BeFeP2
_chemical_formula_sum 'Be4 Fe4 P8'
_cell_length_a 4.9399
_cell_length_b 4.9399
_cell_length_c 10.2417
_cell_angle_alpha 90.00
_cell_angle_beta 90.00
_cell_angle_gamma 90.00
_symmetry_space_group_name_H-M 'I -4 2 d'
_symmetry_Int_Tables_number 122
_symmetry_space_group_name_Hall 'I -4 2bw'
loop_
_atom_site_label
_atom_site_fract_x
_atom_site_fract_y
_atom_site_fract_z
_atom_site_occupancy
Be1 0.0000 0.0000 0.0000 1
Fe1 0.0000 0.0000 0.5000 1
P1 0.2454 0.2500 0.6250 1
```

Results
Formation energy from the elements = 19 meV/atom
Energy above the lowest structure with this stoichiometry = 204 meV/atom
Volume = 249.92 Å³ per cell

# Sn2As2Pb

Sn2As2Pb after structural relaxation (PBE-GGA, Alexandria via LeMat-Bulk).

Structure (CIF):
```
data_Sn2As2Pb
_chemical_formula_sum 'Sn4 As4 Pb2'
_cell_length_a 3.8781
_cell_length_b 3.8781
_cell_length_c 17.7547
_cell_angle_alpha 90.00
_cell_angle_beta 90.00
_cell_angle_gamma 90.00
_symmetry_space_group_name_H-M 'I 4/m m m'
_symmetry_Int_Tables_number 139
_symmetry_space_group_name_Hall '-I 4 2'
loop_
_atom_site_label
_atom_site_fract_x
_atom_site_fract_y
_atom_site_fract_z
_atom_site_occupancy
Sn1 0.0000 0.0000 0.1121 1
As1 0.0000 0.5000 0.2500 1
Pb1 0.0000 0.0000 0.5000 1
```

Results
Formation energy from the elements = 146 meV/atom
Energy above the lowest structure with this stoichiometry = 228 meV/atom
Volume = 267.02 Å³ per cell

# LiScAl2Cl

LiScAl2Cl after structural relaxation (PBE-GGA, Alexandria via LeMat-Bulk).

Structure (CIF):
```
data_LiScAl2Cl
_chemical_formula_sum 'Li1 Sc1 Al2 Cl1'
_cell_length_a 5.5905
_cell_length_b 5.5905
_cell_length_c 4.8647
_cell_angle_alpha 90.00
_cell_angle_beta 90.00
_cell_angle_gamma 90.00
_symmetry_space_group_name_H-M 'P 4/m m m'
_symmetry_Int_Tables_number 123
_symmetry_space_group_name_Hall '-P 4 2'
loop_
_atom_site_label
_atom_site_fract_x
_atom_site_fract_y
_atom_site_fract_z
_atom_site_occupancy
Li1 0.0000 0.0000 0.0000 1
Sc1 0.5000 0.5000 0.5000 1
Al1 0.0000 0.5000 0.5000 1
Cl1 0.5000 0.5000 0.0000 1
```

Results
Energy relative to the elements, uncorrected = 167 meV per atom
Volume = 152.04 Å³ per cell

# Ca6MgAg2

Ca6MgAg2 after structural relaxation (PBE-GGA, Alexandria via LeMat-Bulk).

Structure (CIF):
```
data_Ca6MgAg2
_chemical_formula_sum 'Ca24 Mg4 Ag8'
_cell_length_a 10.0443
_cell_length_b 10.1955
_cell_length_c 11.5403
_cell_angle_alpha 90.00
_cell_angle_beta 90.00
_cell_angle_gamma 90.00
_symmetry_space_group_name_H-M 'I m m m'
_symmetry_Int_Tables_number 71
_symmetry_space_group_name_Hall '-I 2 2'
loop_
_atom_site_label
_atom_site_fract_x
_atom_site_fract_y
_atom_site_fract_z
_atom_site_occupancy
Ca1 0.0000 0.1955 0.2450 1
Ca2 0.1929 0.5000 0.1658 1
Ca3 0.2098 0.3152 0.5000 1
Mg1 0.0000 0.0000 0.0000 1
Mg2 0.0000 0.0000 0.5000 1
Ag1 0.0000 0.3212 0.0000 1
Ag2 0.0000 0.5000 0.3727 1
```

Results
Formation energy from the elements = -186 meV/atom
Volume = 1181.81 Å³ per cell

# ReAgPdN2

ReAgPdN2 after structural relaxation (PBE-GGA, Alexandria via LeMat-Bulk).

Structure (CIF):
```
data_ReAgPdN2
_chemical_formula_sum 'Re1 Ag1 Pd1 N2'
_cell_length_a 3.8349
_cell_length_b 3.8349
_cell_length_c 5.4301
_cell_angle_alpha 90.00
_cell_angle_beta 90.00
_cell_angle_gamma 90.00
_symmetry_space_group_name_H-M 'P 4/m m m'
_symmetry_Int_Tables_number 123
_symmetry_space_group_name_Hall '-P 4 2'
loop_
_atom_site_label
_atom_site_fract_x
_atom_site_fract_y
_atom_site_fract_z
_atom_site_occupancy
Re1 0.0000 0.0000 0.0000 1
Ag1 0.0000 0.0000 0.5000 1
Pd1 0.5000 0.5000 0.5000 1
N1 0.0000 0.5000 0.0000 1
```

Results
Energy relative to the elements, uncorrected = 797 meV per atom
Volume = 79.86 Å³ per cell

# LiEr2Si

LiEr2Si after structural relaxation (PBE-GGA, Alexandria via LeMat-Bulk).

Structure (CIF):
```
data_LiEr2Si
_chemical_formula_sum 'Li1 Er2 Si1'
_cell_length_a 4.7229
_cell_length_b 4.7229
_cell_length_c 3.8845
_cell_angle_alpha 90.00
_cell_angle_beta 90.00
_cell_angle_gamma 90.00
_symmetry_space_group_name_H-M 'P 4/m m m'
_symmetry_Int_Tables_number 123
_symmetry_space_group_name_Hall '-P 4 2'
loop_
_atom_site_label
_atom_site_fract_x
_atom_site_fract_y
_atom_site_fract_z
_atom_site_occupancy
Li1 0.0000 0.0000 0.0000 1
Er1 0.0000 0.5000 0.5000 1
Si1 0.5000 0.5000 0.0000 1
```

Results
Energy relative to the elements, uncorrected = -338 meV per atom
Volume = 86.65 Å³ per cell

# HoScIr2

HoScIr2 after structural relaxation (PBE-GGA, Alexandria via LeMat-Bulk).

Structure (CIF):
```
data_HoScIr2
_chemical_formula_sum 'Ho1 Sc1 Ir2'
_cell_length_a 3.2249
_cell_length_b 3.2249
_cell_length_c 7.0216
_cell_angle_alpha 90.00
_cell_angle_beta 90.00
_cell_angle_gamma 90.00
_symmetry_space_group_name_H-M 'P 4/m m m'
_symmetry_Int_Tables_number 123
_symmetry_space_group_name_Hall '-P 4 2'
loop_
_atom_site_label
_atom_site_fract_x
_atom_site_fract_y
_atom_site_fract_z
_atom_site_occupancy
Ho1 0.0000 0.0000 0.0000 1
Sc1 0.0000 0.0000 0.5000 1
Ir1 0.5000 0.5000 0.2674 1
```

Results
Formation energy from the elements = -917 meV/atom
Volume = 73.02 Å³ per cell